VASP calculation (PBE) on a relaxed structure of Pm2SmNb.

Formation energy, eV per atom: 0.5837
Calculated density, kg/m3: 7645

The structure in CIF format:
```
data_Pm2SmNb
_cell_length_a 3.3544
_cell_length_b 3.3544
_cell_length_c 35.6621
_cell_angle_alpha 90.00
_cell_angle_beta 90.00
_cell_angle_gamma 120.00
_space_group_name_H-M_alt 'R -3 m'
_space_group_IT_number 166
_space_group_name_Hall '-R 3 2"'
loop_
_atom_site_label
_atom_site_fract_x
_atom_site_fract_y
_atom_site_fract_z
Pm1 0.0000 0.0000 0.0815
Sm1 0.0000 0.0000 0.5000
Nb1 0.0000 0.0000 0.0000
```